Record 1
# Mg2CdMo, relaxed, DFT PBE-GGA
# - Mass density: 5.675 g/cm3
# - Calculated formation energy: 0.32 eV/atom
# - Total moment: 0.0 μB per cell
# - Crystal system: orthorhombic
data_Mg2CdMo
_cell_length_a 3.044
_cell_length_b 5.034
_cell_length_c 9.814
_cell_angle_alpha 90.00
_cell_angle_beta 90.00
_cell_angle_gamma 90.00
_symmetry_space_group_name_H-M 'I m m m'
_symmetry_Int_Tables_number 71
_symmetry_space_group_name_Hall '-I 2 2'
loop_
_atom_site_label
_atom_site_fract_x
_atom_site_fract_y
_atom_site_fract_z
_atom_site_occupancy
Mg1 0.000 0.000 0.248 1
Cd1 0.000 0.500 0.000 1
Mo1 0.000 0.500 0.500 1

Record 2
# Ta3RuS6, relaxed, DFT PBE-GGA
# - Energy relative to the elements, uncorrected: -0.645 eV per atom
# - Mass density: 7.852 g/cm3
# - Total moment: 0.0 μB per cell
# - Crystal system: orthorhombic
data_Ta3RuS6
_cell_length_a 9.747
_cell_length_b 12.155
_cell_length_c 5.971
_cell_angle_alpha 90.00
_cell_angle_beta 90.00
_cell_angle_gamma 90.00
_symmetry_space_group_name_H-M 'C m c 21'
_symmetry_Int_Tables_number 36
_symmetry_space_group_name_Hall 'C 2c -2'
loop_
_atom_site_label
_atom_site_fract_x
_atom_site_fract_y
_atom_site_fract_z
_atom_site_occupancy
Ta1 0.000 0.101 0.000 1
Ta2 0.151 0.384 0.088 1
Ru1 0.000 0.285 0.728 1
S1 0.000 0.262 0.308 1
S2 0.000 0.475 0.797 1
S3 0.167 0.029 0.294 1
S4 0.195 0.211 0.873 1

Record 3
# Na3Pr2TlO6, relaxed, DFT PBE-GGA
# - Energy relative to the elements, uncorrected: -2.041 eV per atom
# - Mass density: 5.824 g/cm3
# - Total moment: 0.0 μB per cell
# - Crystal system: monoclinic
data_Na3Pr2TlO6
_cell_length_a 6.132
_cell_length_b 10.646
_cell_length_c 6.029
_cell_angle_alpha 90.00
_cell_angle_beta 109.38
_cell_angle_gamma 90.00
_symmetry_space_group_name_H-M 'C 1 2/m 1'
_symmetry_Int_Tables_number 12
_symmetry_space_group_name_Hall '-C 2y'
loop_
_atom_site_label
_atom_site_fract_x
_atom_site_fract_y
_atom_site_fract_z
_atom_site_occupancy
Na1 0.000 0.000 0.000 1
Na2 0.000 0.347 0.000 1
Pr1 0.000 0.167 0.500 1
Tl1 0.000 0.500 0.500 1
O1 0.237 0.337 0.724 1
O2 0.243 0.000 0.724 1

Record 4
# Tb4Dy3Tm4, relaxed, DFT PBE-GGA
# - Mass density: 8.797 g/cm3
# - Calculated formation energy: 0.02 eV/atom
# - Total moment: 0.0 μB per cell
# - Crystal system: triclinic
data_Tb4Dy3Tm4
_cell_length_a 3.520
_cell_length_b 4.979
_cell_length_c 19.610
_cell_angle_alpha 82.72
_cell_angle_beta 84.85
_cell_angle_gamma 89.98
_symmetry_space_group_name_H-M 'P -1'
_symmetry_Int_Tables_number 2
_symmetry_space_group_name_Hall '-P 1'
loop_
_atom_site_label
_atom_site_fract_x
_atom_site_fract_y
_atom_site_fract_z
_atom_site_occupancy
Tb1 0.046 0.046 0.409 1
Tb2 0.318 0.318 0.865 1
Dy1 0.137 0.136 0.227 1
Dy2 0.500 0.500 0.500 1
Tm1 0.227 0.227 0.045 1
Tm2 0.409 0.409 0.683 1

Record 5
# NaRuS2, relaxed, DFT PBE-GGA
# - Energy relative to the elements, uncorrected: 0.141 eV per atom
# - Mass density: 4.545 g/cm3
# - Total moment: 0.0 μB per cell
# - Crystal system: trigonal
data_NaRuS2
_cell_length_a 3.0247
_cell_length_b 3.0247
_cell_length_c 26.0334
_cell_angle_alpha 90.00
_cell_angle_beta 90.00
_cell_angle_gamma 120.00
_symmetry_space_group_name_H-M 'R -3 m'
_symmetry_Int_Tables_number 166
_symmetry_space_group_name_Hall '-R 3 2"'
loop_
_atom_site_label
_atom_site_fract_x
_atom_site_fract_y
_atom_site_fract_z
_atom_site_occupancy
Na1 0.0000 0.0000 0.0000 1
Ru1 0.0000 0.0000 0.5000 1
S1 0.0000 0.0000 0.4149 1

Record 6
# Ac6Nd5Ho2, relaxed, DFT PBE-GGA
# - Mass density: 7.760 g/cm3
# - Calculated formation energy: 0.15 eV/atom
# - Total moment: 0.0 μB per cell
# - Crystal system: orthorhombic
data_Ac6Nd5Ho2
_cell_length_a 11.388
_cell_length_b 24.098
_cell_length_c 3.763
_cell_angle_alpha 90.00
_cell_angle_beta 90.00
_cell_angle_gamma 90.00
_symmetry_space_group_name_H-M 'P b a m'
_symmetry_Int_Tables_number 55
_symmetry_space_group_name_Hall '-P 2 2ab'
loop_
_atom_site_label
_atom_site_fract_x
_atom_site_fract_y
_atom_site_fract_z
_atom_site_occupancy
Ac1 0.019 0.113 0.000 1
Ac2 0.147 0.385 0.000 1
Ac3 0.166 0.634 0.500 1
Nd1 0.000 0.500 0.500 1
Nd2 0.085 0.249 0.500 1
Nd3 0.165 0.997 0.500 1
Ho1 0.165 0.766 0.000 1

Record 7
# CsFeRh2, relaxed, DFT PBE-GGA
# - Mass density: 8.707 g/cm3
# - Calculated formation energy: 1.16 eV/atom
# - Total moment: 18.3 μB per cell
# - Crystal system: cubic
data_CsFeRh2
_cell_length_a 6.702
_cell_length_b 6.702
_cell_length_c 6.702
_cell_angle_alpha 90.00
_cell_angle_beta 90.00
_cell_angle_gamma 90.00
_symmetry_space_group_name_H-M 'F m -3 m'
_symmetry_Int_Tables_number 225
_symmetry_space_group_name_Hall '-F 4 2 3'
loop_
_atom_site_label
_atom_site_fract_x
_atom_site_fract_y
_atom_site_fract_z
_atom_site_occupancy
Cs1 0.000 0.000 0.000 1
Fe1 0.000 0.000 0.500 1
Rh1 0.250 0.250 0.250 1

Record 8
# Mn2Be2Cu, relaxed, DFT PBE-GGA
# - Mass density: 6.165 g/cm3
# - Calculated formation energy: 0.00 eV/atom
# - Total moment: 9.2 μB per cell
# - Crystal system: tetragonal
data_Mn2Be2Cu
_cell_length_a 5.892
_cell_length_b 5.892
_cell_length_c 2.971
_cell_angle_alpha 90.00
_cell_angle_beta 90.00
_cell_angle_gamma 90.00
_symmetry_space_group_name_H-M 'P 4/m b m'
_symmetry_Int_Tables_number 127
_symmetry_space_group_name_Hall '-P 4 2ab'
loop_
_atom_site_label
_atom_site_fract_x
_atom_site_fract_y
_atom_site_fract_z
_atom_site_occupancy
Mn1 0.167 0.333 0.000 1
Be1 0.128 0.628 0.500 1
Cu1 0.000 0.000 0.500 1

Record 9
# LaMn2Se, relaxed, DFT PBE-GGA
# - Energy relative to the elements, uncorrected: -0.235 eV per atom
# - Mass density: 6.302 g/cm3
# - Total moment: 7.2 μB per cell
# - Crystal system: monoclinic
data_LaMn2Se
_cell_length_a 3.757
_cell_length_b 3.980
_cell_length_c 6.065
_cell_angle_alpha 90.00
_cell_angle_beta 107.77
_cell_angle_gamma 90.00
_symmetry_space_group_name_H-M 'P 1 m 1'
_symmetry_Int_Tables_number 6
_symmetry_space_group_name_Hall 'P -2y'
loop_
_atom_site_label
_atom_site_fract_x
_atom_site_fract_y
_atom_site_fract_z
_atom_site_occupancy
La1 0.000 0.000 0.000 1
Mn1 0.259 0.000 0.507 1
Mn2 0.721 0.500 0.432 1
Se1 0.392 0.500 0.780 1

Record 10
# GaGeI, relaxed, DFT PBE-GGA
# - Energy relative to the elements, uncorrected: -0.164 eV per atom
# - Mass density: 4.013 g/cm3
# - Total moment: 0.0 μB per cell
# - Crystal system: monoclinic
data_GaGeI
_cell_length_a 10.428
_cell_length_b 4.091
_cell_length_c 10.905
_cell_angle_alpha 90.00
_cell_angle_beta 106.63
_cell_angle_gamma 90.00
_symmetry_space_group_name_H-M 'C 1 2/m 1'
_symmetry_Int_Tables_number 12
_symmetry_space_group_name_Hall '-C 2y'
loop_
_atom_site_label
_atom_site_fract_x
_atom_site_fract_y
_atom_site_fract_z
_atom_site_occupancy
Ga1 0.047 0.000 0.156 1
Ge1 0.184 0.000 0.000 1
I1 0.099 0.500 0.333 1

What did the second record say?
# Ta3RuS6, relaxed, DFT PBE-GGA
# - Energy relative to the elements, uncorrected: -0.645 eV per atom
# - Mass density: 7.852 g/cm3
# - Total moment: 0.0 μB per cell
# - Crystal system: orthorhombic
data_Ta3RuS6
_cell_length_a 9.747
_cell_length_b 12.155
_cell_length_c 5.971
_cell_angle_alpha 90.00
_cell_angle_beta 90.00
_cell_angle_gamma 90.00
_symmetry_space_group_name_H-M 'C m c 21'
_symmetry_Int_Tables_number 36
_symmetry_space_group_name_Hall 'C 2c -2'
loop_
_atom_site_label
_atom_site_fract_x
_atom_site_fract_y
_atom_site_fract_z
_atom_site_occupancy
Ta1 0.000 0.101 0.000 1
Ta2 0.151 0.384 0.088 1
Ru1 0.000 0.285 0.728 1
S1 0.000 0.262 0.308 1
S2 0.000 0.475 0.797 1
S3 0.167 0.029 0.294 1
S4 0.195 0.211 0.873 1